LaMnPO2 after structural relaxation. Source: Alexandria, functional GGA+U.

Lattice parameters (Å, degrees): 4.0737 4.0737 4.6556 90.00 90.00 90.00
Last column: nearest neighbours and their distance in Å.
Sites, in units of the cell vectors:
La  0.5000  0.5000  0.5000  4 P 2.88, 8 O 3.09
O  0.0000  0.5000  0.0000  2 Mn 2.04
Mn  0.0000  0.0000  0.0000  4 O 2.04
O  0.5000  0.0000  0.0000  2 Mn 2.04
P  0.0000  0.0000  0.5000  2 Mn 2.33

For the energy relative to the lowest polymorph listed for this composition, the calculation gives 0 meV per atom. The uncorrected energy is -6.9202 eV per atom. The size of the total moment is 3.24 μB per formula unit.